This record from Alexandria describes a relaxed structure of Tb2HoTe4. The functional is PBE.

Lattice parameters (Å, degrees): 4.3455 7.5858 8.4506 116.91 104.90 90.00
Sites, in units of the cell vectors:
Tb 0.2563 0.2427 0.5125
Tb 0.7437 0.7573 0.4875
Te 0.8805 0.2109 0.7610
Te 0.3727 0.7103 0.7453
Te 0.1195 0.7891 0.2390
Te 0.6273 0.2897 0.2547
Ho 0.0000 0.0000 0.0000

Properties
Energy relative to the elements, uncorrected = -1.38 eV per atom
Total energy = -5.155 eV/atom



This record from Alexandria describes a relaxed structure of Rb8Br3O2. The functional is PBE.

Lattice parameters (Å, degrees): 8.0027 8.4401 9.5516 116.22 107.59 90.00
Sites, in units of the cell vectors:
Rb 0.5861 0.0905 0.7042
Rb 0.5861 0.6137 0.7042
Rb 0.0044 0.1454 0.2908
Rb 0.7997 0.6188 0.2377
Rb 0.4139 0.9095 0.2958
Rb 0.4139 0.3863 0.2958
Rb 0.2003 0.3812 0.7623
Rb 0.9956 0.8546 0.7092
O 0.3539 0.2602 0.5205
O 0.6461 0.7398 0.4795
Br 0.0000 0.2724 0.0000
Br 0.0000 0.7276 0.0000
Br 0.5000 0.0000 0.0000

Properties
Energy relative to the elements, uncorrected = -1.15 eV per atom
Total energy = -2.897 eV/atom



This record from Alexandria describes a relaxed structure of MnNiTe. The functional is PBE.

Lattice parameters (Å, degrees): 4.2469 4.2469 4.2469 60.00 60.00 60.00
Last column: magnetic moment on the atom in μB.
Sites, in units of the cell vectors:
Mn 0.5000 0.5000 0.5000  3.96
Ni 0.7500 0.7500 0.7500  0.47
Te 0.0000 0.0000 0.0000  0.09

Properties
Energy relative to the elements, uncorrected = -0.11 eV per atom
Offset from the most stable computed form = 0.000 eV per atom
Total energy = -6.136 eV/atom



This record from Alexandria describes a relaxed structure of Al2GaBiS6. The functional is PBE.

Lattice parameters (Å, degrees): 6.7649 9.3782 9.3782 85.45 75.41 75.41
Sites, in units of the cell vectors:
S 0.5538 0.1423 0.6308
S 0.4462 0.8577 0.3692
S 0.8172 0.0480 0.1864
S 0.3172 0.1864 0.0480
S 0.9787 0.3243 0.4531
S 0.0538 0.6308 0.1423
S 0.1828 0.9520 0.8136
S 0.9462 0.3692 0.8577
S 0.4787 0.4531 0.3243
S 0.6828 0.8136 0.9520
S 0.0213 0.6757 0.5469
S 0.5213 0.5469 0.6757
Ga 0.7500 0.8162 0.1838
Ga 0.2500 0.1838 0.8162
Al 0.6150 0.3472 0.5200
Al 0.8850 0.4800 0.6528
Al 0.1150 0.5200 0.3472
Al 0.3850 0.6528 0.4800
Bi 0.7500 0.0849 0.9151
Bi 0.2500 0.9151 0.0849

Properties
Energy relative to the elements, uncorrected = -0.75 eV per atom
Total energy = -4.667 eV/atom



This record from Alexandria describes a relaxed structure of Sr2Ac2Pt3. The functional is PBE.

Lattice parameters (Å, degrees): 4.3797 7.5979 7.7290 100.83 89.98 106.72
Sites, in units of the cell vectors:
Sr 0.8623 0.7253 0.6381
Sr 0.1377 0.2747 0.3619
Pt 0.2363 0.4736 0.7535
Pt 0.7637 0.5264 0.2465
Pt 0.0000 0.0000 0.0000
Ac 0.3724 0.7443 0.1014
Ac 0.6276 0.2557 0.8986

Properties
DFT formation energy = -0.94 eV/atom
Total energy = -5.181 eV/atom



This record from Alexandria describes a relaxed structure of Dy2YGa. The functional is PBE.

Lattice parameters (Å, degrees): 3.5301 3.5301 8.9114 90.00 90.00 90.00
Sites, in units of the cell vectors:
Ga 0.5000 0.5000 0.0000
Dy 0.0000 0.0000 0.2074
Dy 0.0000 0.0000 0.7926
Y 0.5000 0.5000 0.5000

Properties
DFT formation energy = -0.28 eV/atom
Offset from the most stable computed form = 0.000 eV per atom
Total energy = -4.951 eV/atom



This record from Alexandria describes a relaxed structure of Cr2GeP2. The functional is PBE.

Lattice parameters (Å, degrees): 6.6428 6.6428 2.9401 90.00 90.00 90.00
Sites, in units of the cell vectors:
P 0.8604 0.3604 0.5000
P 0.1396 0.6396 0.5000
P 0.3604 0.1396 0.5000
P 0.6396 0.8604 0.5000
Cr 0.3506 0.8506 0.0000
Cr 0.6494 0.1494 0.0000
Cr 0.1494 0.3506 0.0000
Cr 0.8506 0.6494 0.0000
Ge 0.5000 0.5000 0.0000
Ge 0.0000 0.0000 0.0000

Properties
DFT formation energy = -0.06 eV/atom
Offset from the most stable computed form = 0.033 eV per atom
Total energy = -6.994 eV/atom



This record from Alexandria describes a relaxed structure of Y2TlCuN. The functional is PBE.

Lattice parameters (Å, degrees): 4.8774 4.8774 4.0958 90.00 90.00 90.00
Sites, in units of the cell vectors:
Tl 0.5000 0.5000 0.5000
Cu 0.0000 0.0000 0.5000
N 0.0000 0.0000 0.0000
Y 0.5000 0.0000 0.0000
Y 0.0000 0.5000 0.0000

Properties
Energy relative to the elements, uncorrected = -0.60 eV per atom
Total energy = -6.145 eV/atom



This record from Alexandria describes a relaxed structure of SiTc2Ru. The functional is PBE.

Lattice parameters (Å, degrees): 4.0393 4.0393 4.9418 65.88 65.88 60.00
Sites, in units of the cell vectors:
Si 0.6723 0.6723 0.9830
Tc 0.0761 0.0761 0.7718
Tc 0.2665 0.2665 0.2004
Ru 0.4851 0.4851 0.5448

Properties
Energy relative to the elements, uncorrected = 0.02 eV per atom
Total energy = -8.842 eV/atom



- Among the records above, which one has the lowest total energy?
  SiTc2Ru